Pu3As2H: relaxed, PBE-GGA.

Results
crystal system	monoclinic
Fermi-level density of states	36.1	states/eV/cell
uncorrected energy	-9.741	eV per atom
E above lowest polymorph	0.333	eV/atom

Geometry as POSCAR:
```
Pu3As2H
1.0
5.434 -2.773 0.000
5.434 2.773 0.000
-1.842 0.000 7.707
Pu As H
6 4 2
direct
0.100 0.900 0.750
0.339 0.426 0.882
0.426 0.339 0.382
0.574 0.661 0.618
0.661 0.574 0.118
0.900 0.100 0.250
0.145 0.232 0.576
0.232 0.145 0.076
0.768 0.855 0.924
0.855 0.768 0.424
0.309 0.691 0.250
0.691 0.309 0.750
```

Pm12DyAl3: relaxed, PBE-GGA.

Results
crystal system	tetragonal
Fermi-level density of states	22.5	states/eV/cell
uncorrected energy	-4.667	eV per atom
DFT formation energy	-0.1152	eV per atom

Geometry as POSCAR:
```
Pm12DyAl3
1.0
4.903 0.000 0.000
0.000 4.903 0.000
0.000 0.000 19.989
Pm Dy Al
12 1 3
direct
0.000 0.000 0.000
0.000 0.000 0.243
0.000 0.000 0.500
0.000 0.000 0.757
0.000 0.500 0.122
0.000 0.500 0.365
0.000 0.500 0.635
0.000 0.500 0.878
0.500 0.000 0.122
0.500 0.000 0.365
0.500 0.000 0.635
0.500 0.000 0.878
0.500 0.500 0.500
0.500 0.500 0.000
0.500 0.500 0.243
0.500 0.500 0.757
```

Y2TaBr: relaxed, PBE-GGA.

Results
crystal system	cubic
Fermi-level density of states	2.4	states/eV/cell
uncorrected energy	-5.982	eV per atom
E above lowest polymorph	0.912	eV/atom
energy relative to the elements, uncorrected	0.6313	eV per atom

Geometry as POSCAR:
```
Y2TaBr
1.0
0.000 3.681 3.681
3.681 0.000 3.681
3.681 3.681 0.000
Y Ta Br
2 1 1
direct
0.000 0.000 0.000
0.250 0.250 0.250
0.750 0.750 0.750
0.500 0.500 0.500
```

Rb2ZnCdBr6: relaxed, PBE-GGA.

Results
crystal system	triclinic
Fermi-level density of states	0.0	states/eV/cell
uncorrected energy	-2.608	eV per atom
E above lowest polymorph	0.000	eV/atom
energy relative to the elements, uncorrected	-1.1919	eV per atom

Geometry as POSCAR:
```
Rb2ZnCdBr6
1.0
7.886 0.000 0.000
-3.905 6.881 0.000
-0.066 -4.518 8.371
Rb Zn Cd Br
2 1 1 6
direct
0.000 0.000 0.000
0.497 0.986 0.479
0.730 0.458 0.190
0.241 0.476 0.724
0.051 0.512 0.190
0.194 0.121 0.700
0.465 0.133 0.183
0.571 0.760 0.700
0.667 0.715 0.179
0.932 0.503 0.716
```

Li2GaO: relaxed, PBE-GGA.

Results
crystal system	tetragonal
Fermi-level density of states	1.7	states/eV/cell
uncorrected energy	-3.846	eV per atom
E above lowest polymorph	0.000	eV/atom
energy relative to the elements, uncorrected	-0.8929	eV per atom

Geometry as POSCAR:
```
Li2GaO
1.0
-2.893 2.893 4.075
2.893 -2.893 4.075
2.893 2.893 -4.075
Li Ga O
4 2 2
direct
0.375 0.120 0.245
0.870 0.625 0.745
0.875 0.130 0.755
0.880 0.125 0.255
0.250 0.750 0.500
0.500 0.500 0.000
0.000 0.000 0.000
0.750 0.250 0.500
```

YReMo2W: relaxed, PBE-GGA.

Results
crystal system	tetragonal
Fermi-level density of states	6.2	states/eV/cell
uncorrected energy	-7.670	eV per atom
DFT formation energy	3.0352	eV per atom

Geometry as POSCAR:
```
YReMo2W
1.0
4.623 0.000 0.000
0.000 4.623 0.000
0.000 0.000 4.754
Y Re Mo W
1 1 2 1
direct
0.000 0.000 0.000
0.500 0.500 0.500
0.000 0.500 0.000
0.500 0.000 0.000
0.000 0.000 0.500
```